Record 1
Material: VH
Method: DFT, PBE
State: relaxed

Structure (POSCAR):
```
VH
1.0
-2.6494 2.6494 2.6494
2.6494 -2.6494 2.6494
2.6494 2.6494 -2.6494
V H
4 4
direct
0.0000 0.0000 0.4058
0.0000 0.4058 0.0000
0.4058 0.0000 0.0000
0.5942 0.5942 0.5942
0.0000 0.0000 0.7647
0.0000 0.7647 0.0000
0.2353 0.2353 0.2353
0.7647 0.0000 0.0000
```

The symmetry is I-43m (217).

=====

Record 2
Material: VH
Method: DFT, PBE
State: relaxed

Structure (POSCAR):
```
VH
1.0
8.1586 0.0000 0.0000
0.0000 2.6652 0.0000
0.0000 0.0000 4.4175
V H
6 6
direct
0.0000 0.0202 0.0000
0.1654 0.3471 0.4606
0.3346 0.6529 0.9606
0.5000 0.9798 0.5000
0.6654 0.6529 0.9606
0.8346 0.3471 0.4606
0.0000 0.5039 0.7111
0.2019 0.1449 0.8442
0.2981 0.8551 0.3442
0.5000 0.4961 0.2111
0.7019 0.8551 0.3442
0.7981 0.1449 0.8442
```

The symmetry is Pmn2_1 (31).

=====

Record 3
Material: VH
Method: DFT, PBE
State: relaxed

Structure (POSCAR):
```
VH
1.0
4.9455 0.0000 0.0000
0.0000 4.9455 0.0000
0.0000 0.0000 4.9455
V H
6 6
direct
0.0000 0.2500 0.5000
0.0000 0.7500 0.5000
0.2500 0.5000 0.0000
0.5000 0.0000 0.2500
0.5000 0.0000 0.7500
0.7500 0.5000 0.0000
0.0000 0.5000 0.2500
0.0000 0.5000 0.7500
0.2500 0.0000 0.5000
0.5000 0.2500 0.0000
0.5000 0.7500 0.0000
0.7500 0.0000 0.5000
```

The symmetry is Pm-3n (223).

=====

Record 4
Material: VH3
Method: DFT, PBE
State: relaxed

Structure (POSCAR):
```
VH3
1.0
-1.3617 1.3617 3.0281
1.3617 -1.3617 3.0281
1.3617 1.3617 -3.0281
V H
1 3
direct
0.0000 0.0000 0.0000
0.3133 0.3133 0.0000
0.5000 0.5000 0.0000
0.6867 0.6867 0.0000
```

The symmetry is I4/mmm (139).

=====

Record 5
Material: V4H
Method: DFT, PBE
State: relaxed

Structure (POSCAR):
```
V4H
1.0
3.8585 0.0000 0.0000
0.0000 3.8585 0.0000
0.0000 0.0000 3.8585
V H
4 1
direct
0.0000 0.0000 0.0000
0.0000 0.5000 0.5000
0.5000 0.0000 0.5000
0.5000 0.5000 0.0000
0.5000 0.5000 0.5000
```

The symmetry is Pm-3m (221).

=====

Record 6
Material: VH
Method: DFT, PBE
State: relaxed

Structure (POSCAR):
```
VH
1.0
7.0234 0.0000 0.0000
-3.5117 6.0825 0.0000
0.0000 0.0000 2.9493
V H
6 6
direct
0.1368 0.6572 0.2500
0.3428 0.4796 0.2500
0.4796 0.1368 0.7500
0.5204 0.8632 0.2500
0.6572 0.5204 0.7500
0.8632 0.3428 0.7500
0.0313 0.3533 0.2500
0.3219 0.9687 0.2500
0.3533 0.3219 0.7500
0.6467 0.6781 0.2500
0.6781 0.0313 0.7500
0.9687 0.6467 0.7500
```

The symmetry is P6_3/m (176).

=====

Record 7
Material: V4H5
Method: DFT, PBE
State: relaxed

Structure (POSCAR):
```
V4H5
1.0
4.8277 -2.9341 0.0000
4.8277 2.9341 0.0000
-0.4973 0.0000 2.5677
V H
4 5
direct
0.0740 0.6634 0.7665
0.3366 0.9260 0.2335
0.6634 0.0740 0.7665
0.9260 0.3366 0.2335
0.0000 0.0000 0.5000
0.2337 0.2337 0.7543
0.3515 0.6485 0.5000
0.6485 0.3515 0.5000
0.7663 0.7663 0.2457
```

The symmetry is C2/m (12).

=====

Record 8
Material: V7H5
Method: DFT, PBE
State: relaxed

Structure (POSCAR):
```
V7H5
1.0
4.4575 -1.2769 0.0000
4.4575 1.2769 0.0000
-2.1487 0.0000 9.2645
V H
7 5
direct
0.0000 0.0000 0.0000
0.1494 0.1494 0.5711
0.2194 0.2194 0.8593
0.4363 0.4363 0.7114
0.5637 0.5637 0.2886
0.7806 0.7806 0.1407
0.8506 0.8506 0.4289
0.2339 0.2339 0.2850
0.4228 0.4228 0.1073
0.5000 0.5000 0.5000
0.5772 0.5772 0.8927
0.7661 0.7661 0.7150
```

The symmetry is C2/m (12).

=====

Record 9
Material: VHW
Method: DFT, PBE
State: relaxed

Structure (POSCAR):
```
VHW
1.0
-1.2972 1.2972 5.0661
1.2972 -1.2972 5.0661
1.2972 1.2972 -5.0661
V H W
1 1 1
direct
0.0000 0.0000 0.0000
0.5460 0.5460 0.0000
0.2697 0.2697 0.0000
```

The symmetry is I4mm (107).

=====

Record 10
Material: VHW
Method: DFT, PBE
State: relaxed

Structure (POSCAR):
```
VHW
1.0
2.7744 0.0000 0.0000
-1.3872 2.4027 0.0000
0.0000 0.0000 4.8490
V H W
1 1 1
direct
0.0000 0.0000 0.0000
0.6667 0.3333 0.2240
0.3333 0.6667 0.5160
```

The symmetry is P3m1 (156).

=====

Record 11
Material: V2HW
Method: DFT, PBE
State: relaxed

Structure (POSCAR):
```
V2HW
1.0
1.4506 0.8375 6.3372
-1.4506 0.8375 6.3372
0.0000 -1.6751 6.3372
V H W
2 1 1
direct
0.2246 0.2246 0.2246
0.7754 0.7754 0.7754
0.5000 0.5000 0.5000
0.0000 0.0000 0.0000
```

The symmetry is R-3m (166).

=====

Record 12
Material: VHW2
Method: DFT, PBE
State: relaxed

Structure (POSCAR):
```
VHW2
1.0
1.3986 0.8075 7.5447
-1.3986 0.8075 7.5447
0.0000 -1.6149 7.5447
V H W
1 1 2
direct
0.0000 0.0000 0.0000
0.5000 0.5000 0.5000
0.1092 0.1092 0.1092
0.8908 0.8908 0.8908
```

The symmetry is R-3m (166).

=====

Record 13
Material: V2H2W
Method: DFT, PBE
State: relaxed

Structure (POSCAR):
```
V2H2W
1.0
-1.5658 1.5658 4.8348
1.5658 -1.5658 4.8348
1.5658 1.5658 -4.8348
V H W
2 2 1
direct
0.1574 0.1574 0.0000
0.8426 0.8426 0.0000
0.2500 0.7500 0.5000
0.7500 0.2500 0.5000
0.5000 0.5000 0.0000
```

The symmetry is I4/mmm (139).

=====

Record 14
Material: VH3W
Method: DFT, PBE
State: relaxed

Structure (POSCAR):
```
VH3W
1.0
3.3279 0.0000 0.0000
0.0000 3.3279 0.0000
0.0000 0.0000 3.3279
V H W
1 3 1
direct
0.0000 0.0000 0.0000
0.0000 0.0000 0.5000
0.0000 0.5000 0.0000
0.5000 0.0000 0.0000
0.5000 0.5000 0.5000
```

The symmetry is Pm-3m (221).

=====

Record 15
Material: V2HW
Method: DFT, PBE
State: relaxed

Structure (POSCAR):
```
V2HW
1.0
2.5753 0.0000 0.0000
0.0000 2.5753 0.0000
0.0000 0.0000 7.0512
V H W
2 1 1
direct
0.0000 0.0000 0.1763
0.0000 0.0000 0.8237
0.5000 0.5000 0.0000
0.5000 0.5000 0.5000
```

The symmetry is P4/mmm (123).

=====

Record 16
Material: VHW2
Method: DFT, PBE
State: relaxed

Structure (POSCAR):
```
VHW2
1.0
0.0000 2.9783 2.9783
2.9783 0.0000 2.9783
2.9783 2.9783 0.0000
V H W
1 1 2
direct
0.0000 0.0000 0.0000
0.5000 0.5000 0.5000
0.2500 0.2500 0.2500
0.7500 0.7500 0.7500
```

The symmetry is Fm-3m (225).

=====

Record 17
Material: V2HW
Method: DFT, PBE
State: relaxed

Structure (POSCAR):
```
V2HW
1.0
0.0000 2.9545 2.9545
2.9545 0.0000 2.9545
2.9545 2.9545 0.0000
V H W
2 1 1
direct
0.2500 0.2500 0.2500
0.7500 0.7500 0.7500
0.0000 0.0000 0.0000
0.5000 0.5000 0.5000
```

The symmetry is Fm-3m (225).

=====

Record 18
Material: VH2W2
Method: DFT, PBE
State: relaxed

Structure (POSCAR):
```
VH2W2
1.0
-1.5601 1.5601 5.2672
1.5601 -1.5601 5.2672
1.5601 1.5601 -5.2672
V H W
1 2 2
direct
0.0000 0.0000 0.0000
0.2500 0.7500 0.5000
0.7500 0.2500 0.5000
0.3560 0.3560 0.0000
0.6440 0.6440 0.0000
```

The symmetry is I4/mmm (139).

=====

Record 19
Material: V2HW
Method: DFT, PBE
State: relaxed

Structure (POSCAR):
```
V2HW
1.0
0.0000 3.6275 3.6275
3.6275 0.0000 3.6275
3.6275 3.6275 0.0000
V H W
4 2 2
direct
0.0000 0.0000 0.0000
0.0000 0.0000 0.5000
0.0000 0.5000 0.0000
0.5000 0.0000 0.0000
0.1250 0.1250 0.1250
0.8750 0.8750 0.8750
0.3750 0.3750 0.3750
0.6250 0.6250 0.6250
```

The symmetry is Fd-3m (227).

=====

Record 20
Material: V5H12W3
Method: DFT, PBE
State: relaxed

Structure (POSCAR):
```
V5H12W3
1.0
-5.3086 5.3086 5.3086
5.3086 -5.3086 5.3086
5.3086 5.3086 -5.3086
V H W
20 48 12
direct
0.0000 0.0000 0.0000
0.0000 0.0000 0.5000
0.0000 0.5000 0.0000
0.0000 0.5000 0.5000
0.1250 0.7500 0.8750
0.1250 0.8750 0.2500
0.2500 0.1250 0.8750
0.2500 0.6250 0.3750
0.3750 0.2500 0.6250
0.3750 0.6250 0.7500
0.5000 0.0000 0.0000
0.5000 0.0000 0.5000
0.5000 0.5000 0.0000
0.5000 0.5000 0.5000
0.6250 0.3750 0.2500
0.6250 0.7500 0.3750
0.7500 0.3750 0.6250
0.7500 0.8750 0.1250
0.8750 0.1250 0.7500
0.8750 0.2500 0.1250
0.0594 0.2214 0.1398
0.0594 0.3381 0.9197
0.0803 0.6398 0.4184
0.0803 0.9406 0.6619
0.0816 0.7214 0.6619
0.0816 0.8602 0.4197
0.1398 0.0594 0.2214
0.1398 0.5803 0.9184
0.1619 0.2214 0.5816
0.1619 0.4406 0.5803
0.2214 0.1398 0.0594
0.2214 0.5816 0.1619
0.2786 0.3381 0.9184
0.2786 0.4406 0.3602
0.3381 0.9184 0.2786
0.3381 0.9197 0.0594
0.3602 0.2786 0.4406
0.3602 0.5816 0.9197
0.4184 0.0803 0.6398
0.4184 0.8381 0.7786
0.4197 0.0816 0.8602
0.4197 0.8381 0.5594
0.4406 0.3602 0.2786
0.4406 0.5803 0.1619
0.5594 0.4197 0.8381
0.5594 0.6398 0.7214
0.5803 0.1619 0.4406
0.5803 0.9184 0.1398
0.5816 0.1619 0.2214
0.5816 0.9197 0.3602
0.6398 0.4184 0.0803
0.6398 0.7214 0.5594
0.6619 0.0803 0.9406
0.6619 0.0816 0.7214
0.7214 0.5594 0.6398
0.7214 0.6619 0.0816
0.7786 0.4184 0.8381
0.7786 0.8602 0.9406
0.8381 0.5594 0.4197
0.8381 0.7786 0.4184
0.8602 0.4197 0.0816
0.8602 0.9406 0.7786
0.9184 0.1398 0.5803
0.9184 0.2786 0.3381
0.9197 0.0594 0.3381
0.9197 0.3602 0.5816
0.9406 0.6619 0.0803
0.9406 0.7786 0.8602
0.1250 0.2500 0.3750
0.1250 0.3750 0.7500
0.2500 0.3750 0.1250
0.2500 0.8750 0.6250
0.3750 0.1250 0.2500
0.3750 0.7500 0.1250
0.6250 0.2500 0.8750
0.6250 0.8750 0.7500
0.7500 0.1250 0.3750
0.7500 0.6250 0.8750
0.8750 0.6250 0.2500
0.8750 0.7500 0.6250
```

The symmetry is Ia-3d (230).

=====

Record 21
Material: VHW2
Method: DFT, PBE
State: relaxed

Structure (POSCAR):
```
VHW2
1.0
-2.7261 2.7261 3.8670
2.7261 -2.7261 3.8670
2.7261 2.7261 -3.8670
V H W
2 2 4
direct
0.3750 0.6250 0.7500
0.6250 0.3750 0.2500
0.1250 0.8750 0.2500
0.8750 0.1250 0.7500
0.0000 0.0000 0.0000
0.0000 0.0000 0.5000
0.0000 0.5000 0.0000
0.5000 0.0000 0.5000
```

The symmetry is I4_1/amd (141).

=====

Record 22
Material: V2H6W
Method: DFT, PBE
State: relaxed

Structure (POSCAR):
```
V2H6W
1.0
4.7895 -2.1304 0.0000
4.7895 2.1304 0.0000
-0.9494 0.0000 2.8740
V H W
2 6 1
direct
0.1673 0.1673 0.1673
0.8327 0.8327 0.8327
0.0753 0.5850 0.3302
0.2358 0.7642 0.0000
0.4150 0.9247 0.6698
0.5850 0.0753 0.3302
0.7642 0.2358 0.0000
0.9247 0.4150 0.6698
0.5000 0.5000 0.5000
```

The symmetry is C2/m (12).

=====

no.,total moment (μB/atom),uncorrected energy (Ry/atom)
1,0.000,-0.432
2,0.000,-0.467
3,0.130,-0.435
4,0.114,-0.306
5,0.000,-0.578
6,0.000,-0.448
7,0.000,-0.418
8,0.000,-0.499
9,0.000,-0.589
10,0.000,-0.611
11,0.000,-0.624
12,0.000,-0.658
13,0.000,-0.567
14,0.000,-0.444
15,0.000,-0.613
16,0.000,-0.637
17,0.000,-0.577
18,0.000,-0.603
19,0.000,-0.617
20,0.000,-0.452
21,0.373,-0.647
22,0.011,-0.424